Material: InCo2Ir
Method: DFT, PBE
State: relaxed

The space group is C2/m (No. 12) and the conventional cell measures 8.808, 2.862 and 4.738 Å, with angles of 90.00, 101.75 and 90.00 degrees. The distinct sites, in fractional coordinates, are In at (0.000, 0.000, 0.000), Co at (0.241, 0.000, 0.709) and Ir at (0.000, 0.500, 0.500).

As for the magnetic moment: 6.37 μB/cell. Its energy of formation from the pure elements is 194 meV/atom. The value obtained for the calculated total energy is -50.1 eV per cell. The value obtained for the density of states at the Fermi level is 6.08 states/eV/f.u.



Material: InCo4Ir
Method: DFT, PBE
State: relaxed

The space group is F-43m (No. 216) and the conventional cell measures 6.793, 6.793 and 6.793 Å, with angles of 90.00, 90.00 and 90.00 degrees. The distinct sites, in fractional coordinates, are In at (0.000, 0.000, 0.000), Co at (0.125, 0.125, 0.375) and Ir at (0.250, 0.250, 0.750).

As for the magnetic moment: 28.82 μB/cell. Its energy of formation from the pure elements is 127 meV/atom. The value obtained for the calculated total energy is -157.1 eV per cell. The value obtained for the density of states at the Fermi level is 8.10 states/eV/f.u.



Material: LaInCo2Ir
Method: DFT, PBE
State: relaxed

The space group is P4/mmm (No. 123) and the conventional cell measures 4.778, 4.778 and 5.315 Å, with angles of 90.00, 90.00 and 90.00 degrees. The distinct sites, in fractional coordinates, are La at (0.000, 0.000, 0.000), In at (0.500, 0.500, 0.000), Co at (0.000, 0.500, 0.500) and Ir at (0.000, 0.000, 0.500).

As for the magnetic moment: 3.86 μB/cell. Its energy of formation from the pure elements is 523 meV/atom. The value obtained for the calculated total energy is -28.1 eV per cell. The value obtained for the density of states at the Fermi level is 5.86 states/eV/f.u.



Material: LuInCoIr
Method: DFT, PBE
State: relaxed

The space group is F-43m (No. 216) and the conventional cell measures 6.492, 6.492 and 6.492 Å, with angles of 90.00, 90.00 and 90.00 degrees. The distinct sites, in fractional coordinates, are Lu at (0.000, 0.000, 0.000), In at (0.000, 0.000, 0.500), Co at (0.250, 0.250, 0.250) and Ir at (0.250, 0.250, 0.750).

As for the magnetic moment: 0.01 μB/cell. Its energy of formation from the pure elements is -391 meV/atom. The value obtained for the calculated total energy is -99.2 eV per cell. The value obtained for the density of states at the Fermi level is 1.31 states/eV/f.u.



Material: NbInCoIr
Method: DFT, PBE
State: relaxed

The space group is F-43m (No. 216) and the conventional cell measures 6.356, 6.356 and 6.356 Å, with angles of 90.00, 90.00 and 90.00 degrees. The distinct sites, in fractional coordinates, are Nb at (0.000, 0.000, 0.000), In at (0.000, 0.000, 0.500), Co at (0.250, 0.250, 0.750) and Ir at (0.250, 0.250, 0.250).

As for the magnetic moment: 8.14 μB/cell. Its energy of formation from the pure elements is -191 meV/atom. The value obtained for the calculated total energy is -118.2 eV per cell. The value obtained for the density of states at the Fermi level is 0.88 states/eV/f.u.



Material: NpInCoIr
Method: DFT, PBE
State: relaxed

The space group is F-43m (No. 216) and the conventional cell measures 6.602, 6.602 and 6.602 Å, with angles of 90.00, 90.00 and 90.00 degrees. The distinct sites, in fractional coordinates, are Np at (0.000, 0.000, 0.000), In at (0.000, 0.000, 0.500), Co at (0.250, 0.250, 0.750) and Ir at (0.250, 0.250, 0.250).

As for the magnetic moment: 8.90 μB/cell. Its energy of formation from the pure elements is -81 meV/atom. The value obtained for the calculated total energy is -127.9 eV per cell. The value obtained for the density of states at the Fermi level is 6.50 states/eV/f.u.



> Which formula does entry 3 have?

LaInCo2Ir